Entry from Alexandria: an optimized crystal structure of AcTl2OsO6 (GGA-PBE).

Cell: 6.4075 6.4075 6.2795 Å, 90.00 90.00 120.00°
With the nearest neighbours (Å) after each atom.
Atoms (fractional coordinates):
Ac: 0.0000 0.0000 0.0000  6 O 2.51
Tl: 0.3333 0.6667 0.4629  3 O 2.57
Tl: 0.6667 0.3333 0.5371  3 O 2.57
Os: 0.0000 0.0000 0.5000  6 O 1.92
O: 0.1384 0.2769 0.6843  1 Os 1.92
O: 0.1384 0.8616 0.6843  1 Os 1.92
O: 0.2769 0.1384 0.3157  1 Os 1.92
O: 0.7231 0.8616 0.6843  1 Os 1.92
O: 0.8616 0.1384 0.3157  1 Os 1.92
O: 0.8616 0.7231 0.3157  1 Os 1.92

Results
- Space-group type: P-3m1
- DOS at the Fermi energy: 4.73 states/eV/cell
- Final energy: -6.394 eV/atom